An optimized crystal structure of HfZn2PtC, computed with PBE-GGA.

CIF file:
```
data_HfZn2PtC
_chemical_formula_sum 'Hf1 Zn2 Pt1 C1'
_space_group_name_H-M_alt 'P 1'
_space_group_IT_number 1
_cell_length_a 4.6674
_cell_length_b 5.0588
_cell_length_c 4.6674
_cell_angle_alpha 90.00
_cell_angle_beta 90.00
_cell_angle_gamma 90.00
loop_
_space_group_symop_operation_xyz
'x,y,z'
loop_
_atom_site_label
_atom_site_type_symbol
_atom_site_fract_x
_atom_site_fract_y
_atom_site_fract_z
_atom_site_occupancy
Zn1 Zn 0.0000 0.0000 0.5000 1
Zn2 Zn 0.5000 0.0000 0.0000 1
Hf1 Hf 0.0000 0.5000 0.0000 1
C1 C 0.5000 0.5000 0.5000 1
Pt1 Pt 0.0000 0.0000 0.0000 1
```

* DFT formation energy: 1.224 eV/atom
* total moment: 0.88 μB per formula unit